1.
Computed, not measured: BC after structural relaxation at the PBE-GGA level of DFT.

Computed properties:
SG	No. 8
energy above the most stable polymorph in this dataset	0.43	eV per formula unit
N(E_F)	0.99	states/eV per cell
ΔE_f	0.37	eV per atom

```
BC
1.0
6.367 -1.325 0.000
6.367 1.325 0.000
-0.437 0.000 5.332
B C
6 6
Direct
0.000 0.000 0.000
0.043 0.043 0.691
0.350 0.350 0.697
0.591 0.591 0.965
0.709 0.709 0.484
0.901 0.901 0.178
0.267 0.267 0.431
0.269 0.269 0.947
0.336 0.336 0.209
0.615 0.615 0.661
0.708 0.708 0.920
0.922 0.922 0.730
```


2.
Computed, not measured: BC after structural relaxation at the PBE-GGA level of DFT.

Computed properties:
SG	No. 8
energy above the most stable polymorph in this dataset	0.38	eV per formula unit
N(E_F)	2.43	states/eV per cell
ΔE_f	0.34	eV per atom

```
BC
1.0
4.517 -1.302 0.000
4.517 1.302 0.000
-3.072 0.000 7.042
B C
6 6
Direct
0.000 0.000 0.000
0.141 0.141 0.437
0.197 0.197 0.016
0.386 0.386 0.736
0.519 0.519 0.186
0.671 0.671 0.827
0.001 0.001 0.518
0.346 0.346 0.209
0.508 0.508 0.634
0.689 0.689 0.368
0.843 0.843 0.326
0.845 0.845 0.816
```


Please write out number 2 again, unchanged.
Computed, not measured: BC after structural relaxation at the PBE-GGA level of DFT.

Computed properties:
SG	No. 8
energy above the most stable polymorph in this dataset	0.38	eV per formula unit
N(E_F)	2.43	states/eV per cell
ΔE_f	0.34	eV per atom

```
BC
1.0
4.517 -1.302 0.000
4.517 1.302 0.000
-3.072 0.000 7.042
B C
6 6
Direct
0.000 0.000 0.000
0.141 0.141 0.437
0.197 0.197 0.016
0.386 0.386 0.736
0.519 0.519 0.186
0.671 0.671 0.827
0.001 0.001 0.518
0.346 0.346 0.209
0.508 0.508 0.634
0.689 0.689 0.368
0.843 0.843 0.326
0.845 0.845 0.816
```